1.
Entry from OQMD via LeMat-Bulk: a relaxed structure of ZrAu (PBE).

- E_form: -0.411 eV per atom

a b c (Å): 5.099 12.475 4.989
angles (deg): 90.00 90.00 90.00
Fractional positions:
Au 0.973 0.502 0.000
Au 0.461 0.629 0.000
Au 0.461 0.871 0.000
Au 0.973 0.998 0.000
Au 0.360 0.002 0.500
Au 0.872 0.129 0.500
Au 0.872 0.371 0.500
Au 0.360 0.498 0.500
Zr 0.476 0.109 0.000
Zr 0.972 0.250 0.000
Zr 0.476 0.391 0.000
Zr 0.950 0.750 0.000
Zr 0.383 0.250 0.500
Zr 0.857 0.609 0.500
Zr 0.362 0.750 0.500
Zr 0.857 0.891 0.500

***

2.
Entry from OQMD via LeMat-Bulk: a relaxed structure of ZrAu (PBE).

- E_form: -0.392 eV per atom

a b c (Å): 10.613 5.993 5.003
angles (deg): 90.00 90.00 90.00
Fractional positions:
Au 0.762 0.261 0.000
Au 0.009 0.500 0.000
Au 0.511 0.500 0.000
Au 0.762 0.739 0.000
Au 0.156 0.000 0.500
Au 0.658 0.000 0.500
Au 0.905 0.239 0.500
Au 0.905 0.761 0.500
Zr 0.536 0.000 0.000
Zr 0.996 0.000 0.000
Zr 0.265 0.246 0.000
Zr 0.265 0.754 0.000
Zr 0.401 0.254 0.500
Zr 0.130 0.500 0.500
Zr 0.671 0.500 0.500
Zr 0.401 0.746 0.500

***

3.
Entry from OQMD via LeMat-Bulk: a relaxed structure of Zr2Au (PBE).

- E_form: -0.345 eV per atom

a b c (Å): 16.353 3.082 4.938
angles (deg): 90.00 90.00 90.00
Fractional positions:
Au 0.667 0.000 0.000
Au 0.167 0.500 0.000
Au 0.777 0.000 0.500
Au 0.277 0.500 0.500
Zr 0.002 0.000 0.000
Zr 0.322 0.000 0.000
Zr 0.502 0.500 0.000
Zr 0.822 0.500 0.000
Zr 0.123 0.000 0.500
Zr 0.442 0.000 0.500
Zr 0.623 0.500 0.500
Zr 0.942 0.500 0.500

***

4.
Entry from OQMD via LeMat-Bulk: a relaxed structure of Zr2Au (PBE).

- E_form: 0.145 eV per atom

a b c (Å): 5.606 5.606 5.606
angles (deg): 60.00 60.00 60.00
Fractional positions:
Au 0.000 0.000 0.000
Au 0.250 0.250 0.250
Zr 0.625 0.625 0.125
Zr 0.625 0.125 0.625
Zr 0.125 0.625 0.625
Zr 0.625 0.625 0.625